Record 1
Ca4CoPb GGA-PBE optimized geometry; energy of formation = 0.616 eV/atom; total moment = 0.943 μB per cell; E = -0.0926 hartree per atom; D(E_F) = 8.5 states/eV/cell; SG = No. 216
1.0
0.0000 4.5780 4.5780
4.5780 0.0000 4.5780
4.5780 4.5780 0.0000
Ca Co Pb
4 1 1
Cartesian
1.1428 1.1428 1.1428 Ca
3.4352 3.4352 1.1428 Ca
3.4352 1.1428 3.4352 Ca
1.1428 3.4352 3.4352 Ca
6.8670 6.8670 6.8670 Co
4.5780 4.5780 4.5780 Pb

Record 2
Ac12Er5Hg3 GGA-PBE optimized geometry; energy of formation = 0.701 eV/atom; total moment = 0.001 μB per cell; E = -0.1084 hartree per atom; D(E_F) = 129.6 states/eV/cell; SG = No. 230
1.0
-9.8072 9.8072 9.8072
9.8072 -9.8072 9.8072
9.8072 9.8072 -9.8072
Ac Er Hg
48 20 12
Cartesian
9.5005 -1.6518 2.8837 Ac
15.0175 -2.0199 3.2518 Ac
2.8837 -0.3067 1.6518 Ac
11.8271 6.5554 -5.2103 Ac
12.6909 0.3067 1.6518 Ac
11.8271 -3.2518 5.2103 Ac
1.6518 2.8837 -0.3067 Ac
13.0590 4.5969 -2.0199 Ac
6.5554 5.2103 -2.0199 Ac
8.1554 2.8837 0.3067 Ac
-0.3067 1.6518 2.8837 Ac
5.2103 -2.0199 6.5554 Ac
9.5005 8.1554 -2.8837 Ac
5.2103 2.0199 3.2518 Ac
8.1554 -2.8837 9.5005 Ac
6.5554 -5.2103 11.8271 Ac
3.2518 5.2103 2.0199 Ac
11.4590 6.9235 0.3067 Ac
2.8837 9.5005 -1.6518 Ac
11.8271 3.2518 4.5969 Ac
2.0199 3.2518 5.2103 Ac
2.8837 0.3067 8.1554 Ac
5.2103 11.8271 -3.2518 Ac
9.5005 1.6518 6.9235 Ac
0.3067 8.1554 2.8837 Ac
4.5969 -2.0199 13.0590 Ac
6.9235 9.5005 1.6518 Ac
7.7873 6.5554 4.5969 Ac
-2.0199 6.5554 5.2103 Ac
6.9235 0.3067 11.4590 Ac
-1.6518 2.8837 9.5005 Ac
6.5554 4.5969 7.7873 Ac
3.2518 15.0175 -2.0199 Ac
1.6518 12.6909 0.3067 Ac
4.5969 7.7873 6.5554 Ac
0.3067 1.6518 12.6909 Ac
4.5969 11.8271 3.2518 Ac
10.1139 8.1554 6.9235 Ac
1.6518 6.9235 9.5005 Ac
3.2518 4.5969 11.8271 Ac
-3.2518 5.2103 11.8271 Ac
8.1554 6.9235 10.1139 Ac
-2.0199 13.0590 4.5969 Ac
-2.8837 9.5005 8.1554 Ac
-2.0199 3.2518 15.0175 Ac
6.9235 10.1139 8.1554 Ac
-5.2103 11.8271 6.5554 Ac
0.3067 11.4590 6.9235 Ac
0.0000 0.0000 0.0000 Er
4.9036 4.9036 -4.9036 Er
4.9036 -4.9036 4.9036 Er
9.8072 0.0000 0.0000 Er
14.7108 2.4518 0.0000 Er
9.8072 -4.9036 7.3554 Er
7.3554 9.8072 -4.9036 Er
7.3554 0.0000 4.9036 Er
4.9036 7.3554 0.0000 Er
9.8072 4.9036 2.4518 Er
-4.9036 4.9036 4.9036 Er
0.0000 9.8072 0.0000 Er
0.0000 0.0000 9.8072 Er
4.9036 4.9036 4.9036 Er
0.0000 4.9036 7.3554 Er
4.9036 2.4518 9.8072 Er
2.4518 9.8072 4.9036 Er
2.4518 0.0000 14.7108 Er
0.0000 14.7108 2.4518 Er
-4.9036 7.3554 9.8072 Er
4.9036 2.4518 0.0000 Hg
9.8072 4.9036 -2.4518 Hg
2.4518 0.0000 4.9036 Hg
12.2590 0.0000 4.9036 Hg
0.0000 4.9036 2.4518 Hg
4.9036 -2.4518 9.8072 Hg
4.9036 12.2590 0.0000 Hg
9.8072 4.9036 7.3554 Hg
-2.4518 9.8072 4.9036 Hg
7.3554 9.8072 4.9036 Hg
0.0000 4.9036 12.2590 Hg
4.9036 7.3554 9.8072 Hg

Record 3
LaTe2Pb GGA-PBE optimized geometry; total moment = 0.000 μB per cell; E = -0.1721 hartree per atom; raw formation energy = -0.95 eV/atom; D(E_F) = 2.2 states/eV/cell; SG = No. 44
1.0
-2.1452 2.2137 7.4791
2.1452 -2.2137 7.4791
2.1452 2.2137 -7.4791
La Te Pb
1 2 1
Cartesian
0.0000 0.0000 0.0000 La
0.0000 0.0000 8.5304 Te
0.0000 2.2137 5.0368 Te
2.1452 0.0000 4.0405 Pb

Record 4
CsIn3Se GGA-PBE optimized geometry; total moment = 0.000 μB per cell; E = -0.0549 hartree per atom; raw formation energy = 1.02 eV/atom; D(E_F) = 4.2 states/eV/cell; SG = No. 221
1.0
6.4772 0.0000 0.0000
0.0000 6.4772 0.0000
0.0000 0.0000 6.4772
Cs In Se
1 3 1
Cartesian
0.0000 0.0000 0.0000 Cs
0.0000 0.0000 3.2386 In
0.0000 3.2386 0.0000 In
3.2386 0.0000 0.0000 In
3.2386 3.2386 3.2386 Se

Record 5
CoCu2Hg2 GGA-PBE optimized geometry; energy of formation = 0.454 eV/atom; total moment = 1.470 μB per cell; E = -0.1002 hartree per atom; D(E_F) = 5.3 states/eV/cell; SG = No. 139
1.0
-1.6946 1.6946 7.3641
1.6946 -1.6946 7.3641
1.6946 1.6946 -7.3641
Co Cu Hg
1 2 2
Cartesian
0.0000 0.0000 0.0000 Co
1.6946 0.0000 3.6821 Cu
0.0000 1.6946 3.6821 Cu
0.0000 0.0000 5.8646 Hg
0.0000 0.0000 8.8637 Hg

Record 6
PaMnS2 GGA-PBE optimized geometry; total moment = 4.148 μB per cell; E = -0.2746 hartree per atom; raw formation energy = -0.74 eV/atom; D(E_F) = 4.0 states/eV/cell; SG = No. 166
1.0
1.8439 1.0646 8.0245
-1.8439 1.0646 8.0245
0.0000 -2.1291 8.0245
Pa Mn S
1 1 2
Cartesian
0.0000 0.0000 0.0000 Pa
0.0000 0.0000 12.0368 Mn
0.0000 0.0000 9.7528 S
0.0000 0.0000 14.3207 S

Record 7
Lu2CoCl GGA-PBE optimized geometry; total moment = 0.001 μB per cell; E = -0.1958 hartree per atom; raw formation energy = -0.83 eV/atom; D(E_F) = 0.9 states/eV/cell; SG = No. 166
1.0
1.8619 1.0749 7.2788
-1.8619 1.0749 7.2788
0.0000 -2.1499 7.2788
Lu Co Cl
2 1 1
Cartesian
0.0000 0.0000 5.0751 Lu
0.0000 0.0000 16.7614 Lu
0.0000 0.0000 10.9183 Co
0.0000 0.0000 0.0000 Cl

Record 8
LiCa2ZnCu2 GGA-PBE optimized geometry; energy of formation = -0.127 eV/atom; total moment = 0.000 μB per cell; E = -0.0989 hartree per atom; D(E_F) = 7.4 states/eV/cell; SG = No. 72
1.0
-2.9151 7.3492 2.9609
2.9151 -7.3492 2.9609
2.9151 7.3492 -2.9609
Li Ca Zn Cu
2 4 2 4
Cartesian
0.0000 0.0000 1.4805 Li
0.0000 0.0000 4.4414 Li
1.4294 2.5036 0.0000 Ca
1.4294 -2.5036 2.9609 Ca
1.4856 9.8528 0.0000 Ca
1.4856 4.8456 2.9609 Ca
2.9151 0.0000 1.4805 Zn
0.0000 7.3492 1.4805 Zn
4.2792 1.6088 0.0000 Cu
1.3641 5.7403 0.0000 Cu
1.5510 1.6088 2.9609 Cu
-1.3641 5.7403 2.9609 Cu

Q: Which value of total moment does entry 2 give?
A: 0.001 μB per cell

Q: total moment of number 2 (Ac12Er5Hg3)?
A: 0.001 μB per cell

Q: What is the total moment in the third record?
A: 0.000 μB per cell